Ta2Mn5Be2Al | PBE | optimized geometry

Calculated values
**DOS at the Fermi energy**: 0.627 states/eV per atom
**Energy of formation**: -0.161 eV/atom
**SG**: P4/mbm, No. 127
**Electronic total energy**: -8.236 eV per atom

a b c (Å): 3.190 8.757 8.757
angles (deg): 90.00 90.00 90.00
Site moments in Bohr magnetons follow the coordinates.
Positions (direct):
Ta1 0.000 0.676 0.176  -0.38
Ta2 0.000 0.324 0.824  -0.38
Ta3 0.000 0.176 0.324  -0.38
Ta4 0.000 0.824 0.676  -0.38
Mn1 0.500 0.215 0.067  1.77
Mn2 0.500 0.785 0.933  1.77
Mn3 0.500 0.067 0.785  1.77
Mn4 0.500 0.715 0.433  1.77
Mn5 0.500 0.933 0.215  1.77
Mn6 0.500 0.285 0.567  1.77
Mn7 0.500 0.567 0.715  1.77
Mn8 0.500 0.433 0.285  1.77
Mn9 0.500 0.500 0.000  1.09
Mn10 0.500 0.000 0.500  1.09
Be1 0.000 0.119 0.619  -0.07
Be2 0.000 0.881 0.381  -0.07
Be3 0.000 0.619 0.881  -0.07
Be4 0.000 0.381 0.119  -0.07
Al1 0.000 0.000 0.000  -0.03
Al2 0.000 0.500 0.500  -0.03

=====

Mn5Be2AlW2 | PBE | optimized geometry

Calculated values
**DOS at the Fermi energy**: 0.604 states/eV per atom
**Energy of formation**: -0.044 eV/atom
**SG**: P4/mbm, No. 127
**Electronic total energy**: -8.339 eV per atom

a b c (Å): 3.103 8.656 8.656
angles (deg): 90.00 90.00 90.00
Site moments in Bohr magnetons follow the coordinates.
Positions (direct):
Mn1 0.500 0.214 0.068  1.49
Mn2 0.500 0.786 0.932  1.49
Mn3 0.500 0.068 0.786  1.49
Mn4 0.500 0.714 0.432  1.49
Mn5 0.500 0.932 0.214  1.49
Mn6 0.500 0.286 0.568  1.49
Mn7 0.500 0.568 0.714  1.49
Mn8 0.500 0.432 0.286  1.49
Mn9 0.500 0.500 0.000  0.92
Mn10 0.500 0.000 0.500  0.92
Be1 0.000 0.121 0.621  -0.05
Be2 0.000 0.879 0.379  -0.05
Be3 0.000 0.621 0.879  -0.05
Be4 0.000 0.379 0.121  -0.05
Al1 0.000 0.000 0.000  -0.03
Al2 0.000 0.500 0.500  -0.03
W1 0.000 0.675 0.175  -0.41
W2 0.000 0.325 0.825  -0.41
W3 0.000 0.175 0.325  -0.41
W4 0.000 0.825 0.675  -0.41

=====

Be2AlMo | PBE | optimized geometry

Calculated values
**DOS at the Fermi energy**: 0.458 states/eV per atom
**Energy of formation**: 0.098 eV/atom
**SG**: Cmm2, No. 35
**Electronic total energy**: -5.408 eV per atom

a b c (Å): 2.800 2.800 6.164
angles (deg): 90.00 90.00 95.66
Positions (direct):
Be1 0.000 0.000 0.047
Be2 0.500 0.500 0.204
Mo1 0.000 0.000 0.466
Al1 0.500 0.500 0.783